[1]
Sm19Y4Ho6, optimized geometry, DFT GGA-PBE; formation energy from the elements = 1065 kJ/mol of formula units
1.0
-6.301 6.301 6.301
6.301 -6.301 6.301
6.301 6.301 -6.301
Sm Y Ho
19 4 6
Direct
0.000 0.000 0.000
0.000 0.261 0.261
0.000 0.739 0.739
0.018 0.801 0.342
0.199 0.218 0.542
0.218 0.542 0.199
0.261 0.000 0.261
0.261 0.261 0.000
0.324 0.782 0.982
0.342 0.018 0.801
0.458 0.676 0.658
0.542 0.199 0.218
0.658 0.458 0.676
0.676 0.658 0.458
0.739 0.000 0.739
0.739 0.739 0.000
0.782 0.982 0.324
0.801 0.342 0.018
0.982 0.324 0.782
0.000 0.000 0.640
0.000 0.640 0.000
0.360 0.360 0.360
0.640 0.000 0.000
0.126 0.626 0.500
0.374 0.500 0.874
0.500 0.126 0.626
0.500 0.874 0.374
0.626 0.500 0.126
0.874 0.374 0.500



[2]
Sm2Y4Ho, optimized geometry, DFT GGA-PBE; E above lowest polymorph = 0 meV per atom; formation energy from the elements = 28 kJ/mol of formula units
1.0
16.890 0.000 0.000
0.000 3.568 0.000
-4.392 0.000 7.605
Sm Y Ho
4 8 2
Direct
0.070 0.000 0.431
0.430 0.500 0.569
0.570 0.500 0.431
0.930 0.000 0.569
0.143 0.500 0.842
0.204 0.500 0.293
0.296 0.000 0.707
0.357 0.000 0.158
0.643 0.000 0.842
0.704 0.000 0.293
0.796 0.500 0.707
0.857 0.500 0.158
0.000 0.000 0.000
0.500 0.500 0.000



[3]
Sm8Y2Ho, optimized geometry, DFT GGA-PBE; E above lowest polymorph = 0 meV per atom; formation energy from the elements = 174 kJ/mol of formula units
1.0
8.364 -3.378 0.000
8.364 3.378 0.000
-1.174 0.000 6.594
Sm Y Ho
8 2 1
Direct
0.091 0.091 0.908
0.151 0.674 0.598
0.254 0.254 0.679
0.326 0.849 0.402
0.674 0.151 0.598
0.746 0.746 0.321
0.849 0.326 0.402
0.909 0.909 0.092
0.302 0.302 0.192
0.698 0.698 0.808
0.500 0.500 0.000



[4]
SmYHo2, optimized geometry, DFT GGA-PBE; E above lowest polymorph = 4 meV per atom; formation energy from the elements = 6 kJ/mol of formula units
1.0
3.588 0.000 0.000
-1.794 3.107 0.000
0.000 0.000 34.530
Sm Y Ho
3 3 6
Direct
0.000 0.000 0.000
0.333 0.667 0.667
0.667 0.333 0.333
0.000 0.000 0.166
0.333 0.667 0.833
0.667 0.333 0.499
0.000 0.000 0.582
0.000 0.000 0.750
0.333 0.667 0.249
0.333 0.667 0.417
0.667 0.333 0.083
0.667 0.333 0.916



[5]
Sm7Y2Ho2, optimized geometry, DFT GGA-PBE; E above lowest polymorph = 6 meV per atom; formation energy from the elements = 159 kJ/mol of formula units
1.0
5.758 -5.702 0.000
5.758 5.702 0.000
-2.325 0.000 5.611
Sm Y Ho
7 2 2
Direct
0.000 0.000 0.000
0.050 0.590 0.825
0.234 0.234 0.595
0.410 0.950 0.175
0.590 0.050 0.825
0.766 0.766 0.405
0.950 0.410 0.175
0.217 0.783 0.500
0.783 0.217 0.500
0.419 0.419 0.200
0.581 0.581 0.800



[6]
Sm2Y12Ho, optimized geometry, DFT GGA-PBE; formation energy from the elements = 248 kJ/mol of formula units
1.0
3.545 -5.696 0.000
3.545 5.696 0.000
0.000 0.000 24.829
Sm Y Ho
4 24 2
Direct
0.250 0.750 0.233
0.250 0.750 0.767
0.750 0.250 0.233
0.750 0.250 0.767
0.000 0.000 0.424
0.000 0.000 0.576
0.000 0.500 0.374
0.000 0.500 0.626
0.001 0.501 0.086
0.001 0.999 0.938
0.250 0.250 0.174
0.250 0.250 0.302
0.250 0.250 0.698
0.250 0.250 0.826
0.499 0.501 0.938
0.499 0.999 0.086
0.500 0.000 0.374
0.500 0.000 0.626
0.500 0.500 0.424
0.500 0.500 0.576
0.501 0.001 0.914
0.501 0.499 0.062
0.750 0.750 0.174
0.750 0.750 0.302
0.750 0.750 0.698
0.750 0.750 0.826
0.999 0.001 0.062
0.999 0.499 0.914
0.250 0.750 0.500
0.750 0.250 0.500



[7]
Sm2Y3Ho, optimized geometry, DFT GGA-PBE; E above lowest polymorph = 34 meV per atom; formation energy from the elements = 87 kJ/mol of formula units
1.0
7.441 -4.858 0.000
7.441 4.858 0.000
-2.417 0.000 5.523
Sm Y Ho
4 6 2
Direct
0.086 0.648 0.614
0.352 0.914 0.886
0.648 0.086 0.114
0.914 0.352 0.386
0.110 0.890 0.250
0.184 0.351 0.027
0.351 0.184 0.527
0.649 0.816 0.473
0.816 0.649 0.973
0.890 0.110 0.750
0.500 0.500 0.000
0.500 0.500 0.500



[8]
Sm2Y9Ho, optimized geometry, DFT GGA-PBE; formation energy from the elements = 28 kJ/mol of formula units
1.0
5.059 0.000 0.000
0.000 5.059 0.000
0.000 0.000 15.180
Sm Y Ho
2 9 1
Direct
0.000 0.000 0.167
0.000 0.000 0.833
0.000 0.500 0.000
0.000 0.500 0.335
0.000 0.500 0.665
0.500 0.000 0.000
0.500 0.000 0.335
0.500 0.000 0.665
0.500 0.500 0.168
0.500 0.500 0.500
0.500 0.500 0.832
0.000 0.000 0.500



[9]
Sm4Y3Ho2, optimized geometry, DFT GGA-PBE; E above lowest polymorph = 27 meV per atom; formation energy from the elements = 39 kJ/mol of formula units
1.0
4.900 -8.457 0.000
4.900 8.457 0.000
0.000 0.000 7.091
Sm Y Ho
8 6 4
Direct
0.025 0.679 0.000
0.320 0.350 0.000
0.321 0.975 0.500
0.350 0.320 0.500
0.650 0.680 0.500
0.679 0.025 0.500
0.680 0.650 0.000
0.975 0.321 0.000
0.000 0.000 0.250
0.000 0.000 0.750
0.330 0.670 0.250
0.330 0.670 0.750
0.670 0.330 0.250
0.670 0.330 0.750
0.027 0.347 0.500
0.347 0.027 0.000
0.653 0.973 0.000
0.973 0.653 0.500



[10]
Sm7YHo4, optimized geometry, DFT GGA-PBE; E above lowest polymorph = 0 meV per atom; formation energy from the elements = 3 kJ/mol of formula units
1.0
6.273 0.000 0.000
0.004 7.238 0.000
2.089 0.003 8.671
Sm Y Ho
7 1 4
Direct
0.000 0.000 0.000
0.223 0.500 0.335
0.279 0.751 0.665
0.499 0.247 0.999
0.501 0.753 0.001
0.721 0.249 0.335
0.777 0.500 0.665
0.000 0.500 0.000
0.220 0.000 0.335
0.278 0.248 0.666
0.722 0.752 0.334
0.780 0.000 0.665



[11]
Sm2Y7Ho, optimized geometry, DFT GGA-PBE; E above lowest polymorph = 488 meV per atom; formation energy from the elements = 670 kJ/mol of formula units
1.0
4.357 -8.660 0.000
4.357 8.660 0.000
0.000 0.000 5.197
Sm Y Ho
2 7 1
Direct
0.201 0.799 0.000
0.799 0.201 0.000
0.000 0.000 0.000
0.213 0.428 0.000
0.301 0.699 0.500
0.428 0.213 0.000
0.572 0.787 0.000
0.699 0.301 0.500
0.787 0.572 0.000
0.500 0.500 0.500



[12]
Sm6Y12Ho, optimized geometry, DFT GGA-PBE; E above lowest polymorph = 0 meV per atom; formation energy from the elements = 214 kJ/mol of formula units
1.0
5.579 3.221 5.845
-5.579 3.221 5.845
0.000 -6.442 5.845
Sm Y Ho
6 12 1
Direct
0.270 0.270 0.662
0.270 0.662 0.270
0.338 0.730 0.730
0.662 0.270 0.270
0.730 0.338 0.730
0.730 0.730 0.338
0.014 0.364 0.364
0.016 0.016 0.696
0.016 0.696 0.016
0.304 0.984 0.984
0.364 0.014 0.364
0.364 0.364 0.014
0.636 0.636 0.986
0.636 0.986 0.636
0.696 0.016 0.016
0.984 0.304 0.984
0.984 0.984 0.304
0.986 0.636 0.636
0.500 0.500 0.500



[13]
Sm4YHo, optimized geometry, DFT GGA-PBE; E above lowest polymorph = 639 meV per atom; formation energy from the elements = 379 kJ/mol of formula units
1.0
11.660 0.000 0.000
0.000 11.683 0.000
0.000 0.000 3.464
Sm Y Ho
8 2 2
Direct
0.000 0.241 0.000
0.000 0.759 0.000
0.238 0.500 0.500
0.262 0.000 0.500
0.500 0.259 0.000
0.500 0.741 0.000
0.738 0.000 0.500
0.762 0.500 0.500
0.000 0.000 0.500
0.500 0.500 0.500
0.000 0.500 0.000
0.500 0.000 0.000



[14]
Sm7Y3Ho2, optimized geometry, DFT GGA-PBE; E above lowest polymorph = 171 meV per atom; formation energy from the elements = 318 kJ/mol of formula units
1.0
3.290 1.900 11.128
-3.290 1.900 11.128
0.000 -3.799 11.128
Sm Y Ho
7 3 2
Direct
0.000 0.000 0.000
0.088 0.088 0.578
0.088 0.578 0.088
0.422 0.912 0.912
0.578 0.088 0.088
0.912 0.422 0.912
0.912 0.912 0.422
0.349 0.349 0.349
0.500 0.500 0.500
0.651 0.651 0.651
0.166 0.166 0.166
0.834 0.834 0.834



[15]
SmY2Ho, optimized geometry, DFT GGA-PBE; E above lowest polymorph = 0 meV per atom; formation energy from the elements = 4 kJ/mol of formula units
1.0
3.653 0.000 0.000
0.000 11.379 0.000
0.000 0.000 6.307
Sm Y Ho
2 4 2
Direct
0.000 0.000 0.000
0.500 0.500 0.500
0.000 0.249 0.665
0.000 0.751 0.665
0.500 0.251 0.165
0.500 0.749 0.165
0.000 0.500 0.997
0.500 0.000 0.497



[16]
Sm2Y12Ho5, optimized geometry, DFT GGA-PBE; E above lowest polymorph = 25 meV per atom; formation energy from the elements = 237 kJ/mol of formula units
1.0
7.825 -4.658 0.000
7.825 4.658 0.000
-0.206 0.000 8.575
Sm Y Ho
2 12 5
Direct
0.178 0.822 0.000
0.822 0.178 0.000
0.058 0.058 0.330
0.064 0.680 0.342
0.167 0.526 0.760
0.320 0.936 0.658
0.413 0.413 0.122
0.474 0.833 0.240
0.526 0.167 0.760
0.587 0.587 0.878
0.680 0.064 0.342
0.833 0.474 0.240
0.936 0.320 0.658
0.942 0.942 0.670
0.200 0.200 0.014
0.269 0.269 0.426
0.500 0.500 0.500
0.731 0.731 0.574
0.800 0.800 0.986



[17]
SmYHo2, optimized geometry, DFT GGA-PBE; E above lowest polymorph = 12 meV per atom; formation energy from the elements = 9 kJ/mol of formula units
1.0
5.038 0.000 0.000
0.000 5.038 0.000
0.000 0.000 5.037
Sm Y Ho
1 1 2
Direct
0.000 0.000 0.000
0.500 0.500 0.000
0.000 0.500 0.500
0.500 0.000 0.500



[18]
SmY3Ho, optimized geometry, DFT GGA-PBE; E above lowest polymorph = 0 meV per atom; formation energy from the elements = 11 kJ/mol of formula units
1.0
7.987 0.000 0.000
0.000 5.058 0.000
-0.001 0.000 7.988
Sm Y Ho
2 6 2
Direct
0.149 0.250 0.049
0.851 0.750 0.951
0.050 0.750 0.351
0.351 0.250 0.451
0.450 0.750 0.150
0.550 0.250 0.850
0.649 0.750 0.549
0.950 0.250 0.649
0.250 0.750 0.750
0.750 0.250 0.250



[19]
SmY4Ho3, optimized geometry, DFT GGA-PBE; E above lowest polymorph = 0 meV per atom; formation energy from the elements = 4 kJ/mol of formula units
1.0
11.286 0.000 0.000
0.000 7.292 0.000
0.000 0.000 6.300
Sm Y Ho
2 8 6
Direct
0.000 0.124 0.000
0.500 0.876 0.500
0.000 0.374 0.497
0.000 0.626 0.996
0.249 0.626 0.333
0.251 0.374 0.833
0.500 0.374 0.496
0.500 0.626 0.997
0.749 0.374 0.833
0.751 0.626 0.333
0.000 0.876 0.499
0.250 0.124 0.330
0.250 0.876 0.830
0.500 0.124 0.999
0.750 0.124 0.330
0.750 0.876 0.830



Calculated raw total energy, -131.952 -39.587 -53.453 -20.278 -53.473 -89.019 -32.502 -71.904 -47.017 -57.779 -52.322 -108.240 -25.988 -58.287 -22.186 -107.441 -20.247 -28.579 -44.272 eV per formula unit (same order as the records).